Below is a geometry-optimized CeThNiRh structure, with properties calculated at the PBE level.

Properties
* magnetic moment: 0.47 μB per formula unit
* calculated density: 10.0 g/cm3
* space group: No. 38
* E above lowest polymorph: 0.000 eV per atom

POSCAR file:
```
CeThNiRh
1.0
4.2129 0.0000 0.0000
0.0000 1.9081 5.5105
0.0000 -1.9081 5.5105
Ce Th Ni Rh
1 1 1 1
Cartesian
0.0000 0.0000 0.0000
2.1064 0.0000 8.0337
2.1064 0.0000 5.0326
0.0000 0.0000 3.0018
```